Density functional theory data (PBE) for Hg2SbRu after structural relaxation.

Unit cell a=5.1609 b=5.1609 c=3.4777 alpha=90.00 beta=90.00 gamma=115.48
Fractional coordinates of all 4 atoms:
1 Hg 0.0000 0.5000 0.0000
2 Hg 0.5000 0.0000 0.0000
3 Sb 0.0000 0.0000 0.5000
4 Ru 0.5000 0.5000 0.5000

Values from the calculation:
Calculated volume in Å³/atom: 20.90
Total moment in μB/cell: 0.0
Energy relative to the elements, uncorrected in meV per atom: 528
Uncorrected energy in eV per cell: -11.89